DFT (PBE-GGA) results for an optimized crystal structure of Ba4GeH2.

Output
- density of states at the Fermi level (states/eV per atom) = 0.757
- VASP energy (eV per formula unit) = -21.257

Cell: 8.582 8.582 8.563 Å, 107.19 107.19 114.23°
Each line ends with the local moment (μB).
Element x y z (fractional)
Ba: 0.917 0.225 0.309  0.11
Ba: 0.334 0.525 0.191  0.11
Ba: 0.915 0.607 0.691  0.11
Ba: 0.775 0.083 0.691  0.11
Ba: 0.393 0.085 0.309  0.11
Ba: 0.334 0.143 0.809  0.11
Ba: 0.475 0.667 0.810  0.11
Ba: 0.857 0.665 0.190  0.11
Ge: 0.250 0.750 0.500  -0.03
Ge: 0.000 0.000 0.000  -0.03
H: 0.625 0.375 0.750  0.00
H: 0.625 0.875 0.250  0.00
H: 0.625 0.375 0.250  0.00
H: 0.125 0.375 0.750  0.00